Record 1
Below is a geometry-optimized Ni3AuCl structure, with properties calculated at the PBE level.

Energy above the lowest structure with this stoichiometry, meV/atom: 736
D(E_F), states/eV/atom: 3.004
E_tot, eV/atom: -3.313
Mass density, g cm⁻³: 6.264
Energy relative to the elements, uncorrected, meV per atom: 1180
Calculated volume, Å³/f.u.: 108.3
Total moment, Bohr magnetons per cell: 2.30
Symmetry: Pm-3m (221)

Cell lengths 4.766, 4.766, 4.766 Å; angles 90.00, 90.00, 90.00 degrees
Site moments in Bohr magnetons follow the coordinates.
Fractional coordinates of all 5 atoms:
Ni  0.500  0.000  0.000  0.54
Ni  0.000  0.500  0.000  0.80
Ni  0.000  0.000  0.500  0.95
Au  0.000  0.000  0.000  0.02
Cl  0.500  0.500  0.500  0.00

---

Record 2
Below is a geometry-optimized Ni2AuCl structure, with properties calculated at the PBE level.

Energy above the lowest structure with this stoichiometry, meV/atom: 281
D(E_F), states/eV/atom: 1.363
E_tot, eV/atom: -3.766
Mass density, g cm⁻³: 8.795
Energy relative to the elements, uncorrected, meV per atom: 405
Calculated volume, Å³/f.u.: 66.0
Total moment, Bohr magnetons per cell: 3.20
Symmetry: I-42d (122)

Cell lengths 6.332, 6.332, 5.559 Å; angles 55.28, 55.28, 90.00 degrees
Site moments in Bohr magnetons follow the coordinates.
Fractional coordinates of all 8 atoms:
Ni  0.168  0.625  0.250  0.71
Au  0.750  0.250  0.500  0.06
Cl  0.250  0.750  0.500  0.13
Ni  0.375  0.418  0.750  0.70
Ni  0.582  0.125  0.250  0.72
Ni  0.875  0.832  0.750  0.70
Cl  0.500  0.500  0.000  0.12
Au  0.000  0.000  0.000  0.07

---

Record 3
Below is a geometry-optimized NiAuCl2 structure, with properties calculated at the PBE level.

Energy above the lowest structure with this stoichiometry, meV/atom: 400
D(E_F), states/eV/atom: 1.601
E_tot, eV/atom: -2.948
Mass density, g cm⁻³: 6.338
Energy relative to the elements, uncorrected, meV per atom: 240
Calculated volume, Å³/f.u.: 85.6
Total moment, Bohr magnetons per cell: 0.99
Symmetry: I-4m2 (119)

Cell lengths 7.131, 7.131, 7.131 Å; angles 150.90, 150.90, 41.62 degrees
Site moments in Bohr magnetons follow the coordinates.
Fractional coordinates of all 4 atoms:
Ni  0.500  0.500  0.000  0.92
Au  0.750  0.250  0.500  0.00
Cl  0.000  0.000  0.000  0.06
Cl  0.250  0.750  0.500  0.00

---

Record 4
Below is a geometry-optimized Ni2AuCl structure, with properties calculated at the PBE level.

Energy above the lowest structure with this stoichiometry, meV/atom: 521
D(E_F), states/eV/atom: 1.444
E_tot, eV/atom: -3.526
Mass density, g cm⁻³: 9.565
Energy relative to the elements, uncorrected, meV per atom: 646
Calculated volume, Å³/f.u.: 60.7
Total moment, Bohr magnetons per cell: 1.32
Symmetry: F-43m (216)

Cell lengths 4.412, 4.412, 4.412 Å; angles 60.00, 60.00, 60.00 degrees
Site moments in Bohr magnetons follow the coordinates.
Fractional coordinates of all 4 atoms:
Ni  0.000  0.000  0.000  0.69
Ni  0.250  0.250  0.250  0.67
Cl  0.750  0.750  0.750  0.03
Au  0.500  0.500  0.500  0.02

---

Record 5
Below is a geometry-optimized NiAuCl structure, with properties calculated at the PBE level.

Energy above the lowest structure with this stoichiometry, meV/atom: 0
D(E_F), states/eV/atom: 0.837
E_tot, eV/atom: -3.620
Mass density, g cm⁻³: 8.497
Energy relative to the elements, uncorrected, meV per atom: 15
Calculated volume, Å³/f.u.: 56.9
Total moment, Bohr magnetons per cell: 1.35
Symmetry: P3m1 (156)

Cell lengths 3.230, 3.230, 6.296 Å; angles 90.00, 90.00, 120.00 degrees
Site moments in Bohr magnetons follow the coordinates.
Fractional coordinates of all 3 atoms:
Au  0.000  0.000  0.931  0.06
Cl  0.333  0.667  0.428  0.19
Ni  0.667  0.333  0.641  1.04

---

Record 6
Below is a geometry-optimized Ni2AuCl structure, with properties calculated at the PBE level.

Energy above the lowest structure with this stoichiometry, meV/atom: 440
D(E_F), states/eV/atom: 1.991
E_tot, eV/atom: -3.608
Mass density, g cm⁻³: 8.731
Energy relative to the elements, uncorrected, meV per atom: 564
Calculated volume, Å³/f.u.: 66.5
Total moment, Bohr magnetons per cell: 1.72
Symmetry: I-4m2 (119)

Cell lengths 5.899, 5.899, 5.899 Å; angles 145.20, 145.20, 50.03 degrees
Site moments in Bohr magnetons follow the coordinates.
Fractional coordinates of all 4 atoms:
Ni  0.250  0.750  0.500  0.92
Ni  0.000  0.000  0.000  0.68
Au  0.500  0.500  0.000  0.03
Cl  0.750  0.250  0.500  0.08

---

Record 7
Below is a geometry-optimized NiAuCl2 structure, with properties calculated at the PBE level.

Energy above the lowest structure with this stoichiometry, meV/atom: 37
D(E_F), states/eV/atom: 0.418
E_tot, eV/atom: -3.310
Mass density, g cm⁻³: 5.797
Energy relative to the elements, uncorrected, meV per atom: -122
Calculated volume, Å³/f.u.: 93.5
Total moment, Bohr magnetons per cell: 1.94
Symmetry: R-3m (166)

Cell lengths 10.520, 10.520, 10.520 Å; angles 17.66, 17.66, 17.66 degrees
Site moments in Bohr magnetons follow the coordinates.
Fractional coordinates of all 4 atoms:
Cl  0.538  0.538  0.538  0.23
Ni  0.250  0.250  0.250  1.39
Au  0.750  0.750  0.750  -0.01
Cl  0.962  0.962  0.962  0.23

---

Record 8
Below is a geometry-optimized Ni2AuCl structure, with properties calculated at the PBE level.

Energy above the lowest structure with this stoichiometry, meV/atom: 57
D(E_F), states/eV/atom: 0.708
E_tot, eV/atom: -3.990
Mass density, g cm⁻³: 8.941
Energy relative to the elements, uncorrected, meV per atom: 181
Calculated volume, Å³/f.u.: 65.0
Total moment, Bohr magnetons per cell: 0.00
Symmetry: R3m (160)

Cell lengths 8.478, 8.478, 8.478 Å; angles 20.43, 20.43, 20.43 degrees
Fractional coordinates of all 4 atoms:
Ni  0.996  0.996  0.996
Cl  0.722  0.722  0.722
Ni  0.264  0.264  0.264
Au  0.517  0.517  0.517

---

Record 9
Below is a geometry-optimized NiAuCl2 structure, with properties calculated at the PBE level.

Energy above the lowest structure with this stoichiometry, meV/atom: 397
D(E_F), states/eV/atom: 1.463
E_tot, eV/atom: -2.950
Mass density, g cm⁻³: 6.479
Energy relative to the elements, uncorrected, meV per atom: 238
Calculated volume, Å³/f.u.: 83.7
Total moment, Bohr magnetons per cell: 0.99
Symmetry: Pmmm (47)

Cell lengths 3.449, 6.528, 3.718 Å; angles 90.00, 90.00, 90.00 degrees
Site moments in Bohr magnetons follow the coordinates.
Fractional coordinates of all 4 atoms:
Ni  0.500  0.000  0.500  0.91
Cl  0.000  0.000  0.000  0.06
Au  0.000  0.500  0.500  0.00
Cl  0.500  0.500  0.000  0.00

---

Record 10
Below is a geometry-optimized NiAuCl5 structure, with properties calculated at the PBE level.

D(E_F), states/eV/atom: 0.578
E_tot, eV/atom: -2.884
Mass density, g cm⁻³: 4.191
Energy relative to the elements, uncorrected, meV per atom: -271
Calculated volume, Å³/f.u.: 171.5
Total moment, Bohr magnetons per cell: 2.49
Symmetry: C2/c (15)

Cell lengths 6.595, 6.596, 8.873 Å; angles 99.50, 99.54, 111.58 degrees
Site moments in Bohr magnetons follow the coordinates.
Fractional coordinates of all 14 atoms:
Cl  0.309  0.235  0.958  0.06
Cl  0.735  0.809  0.458  0.06
Ni  0.500  0.000  0.000  0.86
Cl  0.810  0.341  0.576  0.04
Ni  0.500  0.000  0.500  0.86
Cl  0.265  0.191  0.542  0.06
Cl  0.842  0.310  0.076  0.04
Cl  0.691  0.765  0.042  0.06
Au  0.857  0.643  0.250  0.01
Au  0.143  0.357  0.750  0.01
Cl  0.429  0.071  0.250  0.09
Cl  0.158  0.690  0.924  0.04
Cl  0.190  0.659  0.424  0.04
Cl  0.571  0.929  0.750  0.09

---

Record 11
Below is a geometry-optimized NiAuCl2 structure, with properties calculated at the PBE level.

Energy above the lowest structure with this stoichiometry, meV/atom: 275
D(E_F), states/eV/atom: 1.173
E_tot, eV/atom: -3.072
Mass density, g cm⁻³: 6.029
Energy relative to the elements, uncorrected, meV per atom: 116
Calculated volume, Å³/f.u.: 89.9
Total moment, Bohr magnetons per cell: 1.01
Symmetry: P4mm (99)

Cell lengths 3.566, 3.568, 7.069 Å; angles 90.00, 90.00, 90.00 degrees
Site moments in Bohr magnetons follow the coordinates.
Fractional coordinates of all 4 atoms:
Au  0.500  0.500  0.685  0.09
Cl  0.500  0.500  0.341  0.03
Ni  0.000  0.000  0.580  0.84
Cl  0.000  0.000  0.893  0.04

---

Record 12
Below is a geometry-optimized NiAuCl2 structure, with properties calculated at the PBE level.

Energy above the lowest structure with this stoichiometry, meV/atom: 148
D(E_F), states/eV/atom: 0.527
E_tot, eV/atom: -3.200
Mass density, g cm⁻³: 6.161
Energy relative to the elements, uncorrected, meV per atom: -12
Calculated volume, Å³/f.u.: 88.0
Total moment, Bohr magnetons per cell: 0.00
Symmetry: Cmmm (65)

Cell lengths 3.318, 3.318, 9.824 Å; angles 90.00, 90.00, 125.54 degrees
Fractional coordinates of all 4 atoms:
Cl  0.000  0.000  0.092
Cl  0.000  0.000  0.408
Ni  0.500  0.500  0.250
Au  0.500  0.500  0.750

---

Record 13
Below is a geometry-optimized Ni2AuCl structure, with properties calculated at the PBE level.

Energy above the lowest structure with this stoichiometry, meV/atom: 57
D(E_F), states/eV/atom: 0.986
E_tot, eV/atom: -3.990
Mass density, g cm⁻³: 9.064
Energy relative to the elements, uncorrected, meV per atom: 182
Calculated volume, Å³/f.u.: 64.1
Total moment, Bohr magnetons per cell: 0.59
Symmetry: Cm (8)

Cell lengths 3.011, 3.011, 8.155 Å; angles 89.54, 89.54, 60.11 degrees
Site moments in Bohr magnetons follow the coordinates.
Fractional coordinates of all 4 atoms:
Ni  0.709  0.709  0.791  0.16
Cl  0.371  0.371  0.174  0.05
Ni  0.040  0.040  0.991  0.38
Au  0.379  0.379  0.544  0.00

---

Record 14
Below is a geometry-optimized NiAuCl2 structure, with properties calculated at the PBE level.

Energy above the lowest structure with this stoichiometry, meV/atom: 0
E_tot, eV/atom: -3.347
Mass density, g cm⁻³: 5.593
Energy relative to the elements, uncorrected, meV per atom: -159
Calculated volume, Å³/f.u.: 97.0
Total moment, Bohr magnetons per cell: 1.00
Symmetry: C2/m (12)

Cell lengths 6.310, 6.310, 4.878 Å; angles 79.23, 79.23, 30.59 degrees
Site moments in Bohr magnetons follow the coordinates.
Fractional coordinates of all 4 atoms:
Ni  0.750  0.750  0.750  0.87
Cl  0.121  0.121  0.932  0.07
Cl  0.379  0.379  0.568  0.07
Au  0.250  0.250  0.250  -0.02

---

Record 15
Below is a geometry-optimized NiAuCl2 structure, with properties calculated at the PBE level.

Energy above the lowest structure with this stoichiometry, meV/atom: 208
D(E_F), states/eV/atom: 0.314
E_tot, eV/atom: -3.139
Mass density, g cm⁻³: 6.038
Energy relative to the elements, uncorrected, meV per atom: 49
Calculated volume, Å³/f.u.: 89.8
Total moment, Bohr magnetons per cell: 2.05
Symmetry: I-42d (122)

Cell lengths 5.966, 5.966, 6.578 Å; angles 63.03, 63.03, 90.00 degrees
Site moments in Bohr magnetons follow the coordinates.
Fractional coordinates of all 8 atoms:
Cl  0.875  0.817  0.750  0.06
Au  0.000  0.000  0.000  -0.01
Cl  0.567  0.125  0.250  0.07
Ni  0.250  0.750  0.500  0.92
Cl  0.183  0.625  0.250  0.06
Au  0.750  0.250  0.500  -0.01
Ni  0.500  0.500  0.000  0.91
Cl  0.375  0.433  0.750  0.06